[1]
Material: ReSbO5
Method: DFT, PBE
State: relaxed

The uncorrected formation energy comes out at -1329 meV/atom. Its uncorrected energy is -101.32 eV per cell.

The structure belongs to space group Immm (No. 71); the cell edges are 3.7287, 6.5414 and 7.9608 Å and the angles 90.00°, 90.00° and 90.00°. Symmetry generates all atoms from Re at (0.0000, 0.0000, 0.0000), Sb at (0.0000, 0.0000, 0.5000), O at (0.0000, 0.0000, 0.2315), O at (0.0000, 0.3062, 0.0000) and O at (0.0000, 0.5000, 0.5000).

[2]
Material: Re2SbO8
Method: DFT, PBE
State: relaxed

The uncorrected formation energy comes out at -1361 meV/atom. Its uncorrected energy is -167.31 eV per cell.

The structure belongs to space group C2/m (No. 12); the cell edges are 9.0942, 9.3224 and 5.5881 Å and the angles 90.00°, 97.10° and 90.00°. Symmetry generates all atoms from Re at (0.2348, 0.0000, 0.1284), Sb at (0.0000, 0.0000, 0.5000), O at (0.0783, 0.5000, 0.7746), O at (0.1385, 0.1375, 0.2805) and O at (0.1851, 0.0000, 0.8074).

[3]
Material: ReSbO6
Method: DFT, PBE
State: relaxed

The value obtained for the excess energy over the best structure of this formula in the dataset is 0.217 eV per atom. The uncorrected formation energy comes out at -1119 meV/atom. Its uncorrected energy is -110.54 eV per cell.

The structure belongs to space group C2/m (No. 12); the cell edges are 4.9096, 9.6756 and 4.8554 Å and the angles 90.00°, 104.09° and 90.00°. Symmetry generates all atoms from Re at (0.0000, 0.0000, 0.0000), Sb at (0.0000, 0.5000, 0.5000), O at (0.2288, 0.1320, 0.2446) and O at (0.2422, 0.5000, 0.2302).

[4]
Material: ReSiSb2O
Method: DFT, PBE
State: relaxed

The uncorrected formation energy comes out at 1459 meV/atom. Its uncorrected energy is -23.78 eV per cell.

The structure belongs to space group P4/mmm (No. 123); the cell edges are 5.1618, 5.1618 and 4.5470 Å and the angles 90.00°, 90.00° and 90.00°. Symmetry generates all atoms from Re at (0.0000, 0.0000, 0.0000), Si at (0.0000, 0.0000, 0.5000), Sb at (0.0000, 0.5000, 0.5000) and O at (0.5000, 0.5000, 0.0000).

[5]
Material: Ta2ReSbO
Method: DFT, PBE
State: relaxed

The uncorrected formation energy comes out at 1535 meV/atom. Its uncorrected energy is -37.56 eV per cell.

The structure belongs to space group P4/mmm (No. 123); the cell edges are 5.1777, 5.1777 and 3.7965 Å and the angles 90.00°, 90.00° and 90.00°. Symmetry generates all atoms from Ta at (0.0000, 0.5000, 0.0000), Re at (0.0000, 0.0000, 0.5000), Sb at (0.5000, 0.5000, 0.0000) and O at (0.5000, 0.5000, 0.5000).

[6]
Material: ReSbTe2O
Method: DFT, PBE
State: relaxed

The value obtained for the excess energy over the best structure of this formula in the dataset is 0.213 eV per atom. The uncorrected formation energy comes out at 1014 meV/atom. Its uncorrected energy is -22.74 eV per cell.

The structure belongs to space group P4/mmm (No. 123); the cell edges are 5.1150, 5.1150 and 5.2513 Å and the angles 90.00°, 90.00° and 90.00°. Symmetry generates all atoms from Re at (0.0000, 0.0000, 0.0000), Sb at (0.0000, 0.0000, 0.5000), Te at (0.0000, 0.5000, 0.0000) and O at (0.5000, 0.5000, 0.5000).

> Among the records above, which one has the highest uncorrected energy?

ReSbTe2O

> What is the formula in the sixth record?

ReSbTe2O